(1)
Material: LiCd2Ag
Method: DFT, GGA-PBEsol
State: relaxed

Cell and atoms, written as POSCAR:
```
LiCd2Ag
1.0
-2.6232 0.7343 0.9238
-1.4983 -4.0927 -1.0016
2.7283 -2.1196 4.5793
Cd Ag Li
2 1 1
Direct
0.0322 0.0000 0.9802
0.7029 0.5000 0.2738
0.3837 0.5000 0.7450
0.3812 0.0000 0.5010
```

Its volume is 71.0 Å³/cell. As for the offset from the most stable computed form: 52.1 meV per atom. The crystal system is monoclinic. For the formation enthalpy at 0 K, the calculation gives -3.9 kcal/mol of atoms.



(2)
Material: AgPbF6
Method: DFT, GGA-PBEsol
State: relaxed

Cell and atoms, written as POSCAR:
```
AgPbF6
1.0
-0.4052 -3.6139 -3.7725
4.4568 -1.8692 -2.1788
2.9003 -3.8040 3.2374
F Pb Ag
6 1 1
Direct
0.7531 0.8407 0.2463
0.2469 0.1593 0.7537
0.8956 0.8644 0.7412
0.4198 0.4583 0.2703
0.1044 0.1356 0.2588
0.5802 0.5417 0.7297
0.5000 0.0000 0.5000
0.0000 0.0000 0.0000
```

Its volume is 124.3 Å³/cell. The uncorrected formation energy comes out at -1.585 eV/atom. The crystal system is triclinic.



(3)
Material: Sr3Cu3P4O16
Method: DFT, GGA-PBEsol
State: relaxed

Cell and atoms, written as POSCAR:
```
Sr3Cu3P4O16
1.0
4.9144 0.0000 0.0000
2.4572 9.0648 -0.0036
2.4572 1.1992 15.3083
Cu O P Sr
6 32 8 6
Direct
0.8388 0.2668 0.5310
0.0000 0.5000 0.0000
0.5000 0.0000 0.5000
0.3634 0.7668 0.0310
0.6366 0.2332 0.9690
0.1612 0.7332 0.4690
0.0441 0.8560 0.7052
0.8818 0.4001 0.6142
0.3758 0.3446 0.5296
0.6242 0.6554 0.4704
0.3090 0.0934 0.4032
0.3035 0.8922 0.9232
0.6910 0.9066 0.5968
0.3580 0.3848 0.0441
0.2500 0.1554 0.9704
0.8961 0.0999 0.8858
0.5989 0.9121 0.1884
0.8056 0.4066 0.0968
0.1182 0.5999 0.3858
0.8811 0.3922 0.4232
0.1189 0.6078 0.5768
0.6054 0.6440 0.7948
0.9559 0.1440 0.2948
0.4011 0.0879 0.8116
0.6565 0.3916 0.8769
0.6994 0.5879 0.3116
0.6420 0.6152 0.9559
0.3946 0.3560 0.2052
0.3006 0.4121 0.6884
0.9250 0.1084 0.6231
0.0750 0.8916 0.3769
0.1039 0.9001 0.1142
0.7500 0.8446 0.0296
0.3435 0.6084 0.1231
0.1944 0.5934 0.9032
0.6965 0.1078 0.0768
0.2131 0.8848 0.5441
0.7869 0.1152 0.4559
0.4767 0.4406 0.1199
0.7801 0.9360 0.1011
0.5233 0.5594 0.8801
0.8171 0.5640 0.3989
0.9629 0.9406 0.6199
0.2199 0.0640 0.8989
0.0371 0.0594 0.3801
0.1829 0.4360 0.6011
0.7096 0.2500 0.7500
0.2904 0.7500 0.2500
0.1575 0.1661 0.1373
0.8425 0.8339 0.8627
0.5391 0.6661 0.6373
0.4609 0.3339 0.3627
```

Its volume is 682.0 Å³/cell. The uncorrected formation energy comes out at -2.206 eV/atom. The crystal system is monoclinic.



(4)
Material: Zr2TlOs
Method: DFT, GGA-PBEsol
State: relaxed

Cell and atoms, written as POSCAR:
```
Zr2TlOs
1.0
-3.6094 -3.1406 -0.0432
0.5816 -4.3396 1.9294
-2.2402 -1.1261 4.0751
Os Zr Tl
1 2 1
Direct
0.0000 0.0000 0.0000
0.2500 0.2500 0.2500
0.7500 0.7500 0.7500
0.5000 0.5000 0.5000
```

Its volume is 77.5 Å³/cell. As for the offset from the most stable computed form: 244.7 meV per atom. The crystal system is cubic. For the formation enthalpy at 0 K, the calculation gives -1.6 kcal/mol of atoms.



(5)
Material: P2Pt
Method: DFT, GGA-PBEsol
State: relaxed

Cell and atoms, written as POSCAR:
```
P2Pt
1.0
-5.2146 -1.4610 1.7466
2.1180 -4.7144 2.3800
0.8360 2.8313 4.8643
P Pt
8 4
Direct
0.6109 0.8891 0.1109
0.6109 0.6109 0.6109
0.3891 0.1109 0.8891
0.1109 0.8891 0.3891
0.8891 0.1109 0.6109
0.8891 0.3891 0.1109
0.1109 0.6109 0.8891
0.3891 0.3891 0.3891
0.5000 0.0000 0.5000
0.0000 0.0000 0.0000
0.0000 0.5000 0.5000
0.5000 0.5000 0.0000
```

Its volume is 184.2 Å³/cell. The crystal system is cubic. For the formation enthalpy at 0 K, the calculation gives -17.6 kcal/mol of atoms.



(6)
Material: Zn2FeNi
Method: DFT, GGA-PBEsol
State: relaxed

Cell and atoms, written as POSCAR:
```
Zn2FeNi
1.0
2.5981 0.0000 0.0000
0.0000 2.5981 0.0000
0.0000 0.0000 6.9772
Zn Fe Ni
2 1 1
Direct
0.0000 0.0000 0.2593
0.0000 0.0000 0.7407
0.5000 0.5000 0.0000
0.5000 0.5000 0.5000
```

Its volume is 47.1 Å³/cell. The crystal system is tetragonal. For the formation enthalpy at 0 K, the calculation gives -2.5 kcal/mol of atoms.



(7)
Material: Ca5CuPb3
Method: DFT, GGA-PBEsol
State: relaxed

Cell and atoms, written as POSCAR:
```
Ca5CuPb3
1.0
6.6301 0.0000 0.0000
0.0000 9.4588 0.0000
0.0000 -4.7294 8.1915
Cu Pb Ca
2 6 10
Direct
0.0000 0.0000 0.0000
0.5000 0.0000 0.0000
0.7500 0.4043 0.4043
0.7500 0.0000 0.5957
0.2500 0.0000 0.4043
0.2500 0.4043 0.0000
0.2500 0.5957 0.5957
0.7500 0.5957 0.0000
0.7500 0.2542 0.0000
0.7500 0.0000 0.2542
0.0000 0.6667 0.3333
0.0000 0.3333 0.6667
0.2500 0.0000 0.7458
0.5000 0.6667 0.3333
0.2500 0.2542 0.2542
0.5000 0.3333 0.6667
0.2500 0.7458 0.0000
0.7500 0.7458 0.7458
```

Its volume is 513.7 Å³/cell. The crystal system is hexagonal. For the formation enthalpy at 0 K, the calculation gives -10.4 kcal/mol of atoms.



(8)
Material: Rb2LiPrBr6
Method: DFT, GGA-PBEsol
State: relaxed

Cell and atoms, written as POSCAR:
```
Rb2LiPrBr6
1.0
7.8024 0.0000 0.0000
3.9012 6.7571 0.0000
3.9012 2.2524 6.3706
Rb Br Pr Li
2 6 1 1
Direct
0.7500 0.7500 0.7500
0.2500 0.2500 0.2500
0.7412 0.2588 0.7412
0.2588 0.2588 0.7412
0.2588 0.7412 0.7412
0.7412 0.7412 0.2588
0.7412 0.2588 0.2588
0.2588 0.7412 0.2588
0.0000 0.0000 0.0000
0.5000 0.5000 0.5000
```

Its volume is 335.9 Å³/cell. The uncorrected formation energy comes out at -1.748 eV/atom. The crystal system is cubic.



(9)
Material: TlCu4P3
Method: DFT, GGA-PBEsol
State: relaxed

Cell and atoms, written as POSCAR:
```
TlCu4P3
1.0
3.7905 0.0000 0.0000
0.0000 3.7905 0.0000
0.0000 0.0000 8.9635
Cu P Tl
4 3 1
Direct
0.0000 0.5000 0.1543
0.5000 0.0000 0.8457
0.5000 0.0000 0.1543
0.0000 0.5000 0.8457
0.5000 0.5000 0.2992
0.5000 0.5000 0.7008
0.0000 0.0000 0.0000
0.0000 0.0000 0.5000
```

Its volume is 128.8 Å³/cell. The crystal system is tetragonal. For the formation enthalpy at 0 K, the calculation gives 0.2 kcal/mol of atoms.



(10)
Material: Ca2SiSe
Method: DFT, GGA-PBEsol
State: relaxed

Cell and atoms, written as POSCAR:
```
Ca2SiSe
1.0
-0.1941 -1.7668 3.3011
-3.1890 -2.9100 -1.7450
4.7134 -1.9651 -2.9038
Si Ca Se
1 2 1
Direct
0.7242 0.0869 0.4483
0.9944 0.1389 0.9888
0.2548 0.6063 0.5096
0.5266 0.6680 0.0533
```

Its volume is 95.9 Å³/cell. The uncorrected formation energy comes out at -0.877 eV/atom. As for the offset from the most stable computed form: 0.0 meV per atom. The crystal system is monoclinic.



(11)
Material: Ni3Se4Cl2O10
Method: DFT, GGA-PBEsol
State: relaxed

Cell and atoms, written as POSCAR:
```
Ni3Se4Cl2O10
1.0
5.6197 -0.0413 0.0000
2.1328 6.9444 0.0000
-1.0664 -3.4722 6.8268
O Se Ni Cl
10 4 3 2
Direct
0.2672 0.5263 0.7821
0.0000 0.8882 0.7765
0.0000 0.1118 0.2235
0.7806 0.4672 0.5599
0.7328 0.2558 0.7821
0.2194 0.0927 0.5599
0.7328 0.4737 0.2179
0.2194 0.5329 0.4401
0.7806 0.9073 0.4401
0.2672 0.7442 0.2179
0.7133 0.9929 0.6768
0.2867 0.0071 0.3232
0.2867 0.6839 0.6768
0.7133 0.3161 0.3232
0.0000 0.6260 0.2519
0.5000 0.5000 0.0000
0.0000 0.3740 0.7481
0.7615 0.6968 0.0000
0.2385 0.3032 0.0000
```

Its volume is 267.0 Å³/cell. The uncorrected formation energy comes out at -0.687 eV/atom. The crystal system is monoclinic.



(12)
Material: Cs2NaTiF6
Method: DFT, GGA-PBEsol
State: relaxed

Cell and atoms, written as POSCAR:
```
Cs2NaTiF6
1.0
6.2210 0.0000 0.0000
-3.1105 5.3876 0.0000
0.0000 0.0000 15.1783
F Na Cs Ti
18 3 6 3
Direct
0.8488 0.1512 0.4259
0.8488 0.6975 0.4259
0.1809 0.3618 0.9127
0.1512 0.3025 0.5741
0.5217 0.0433 0.2406
0.1512 0.8488 0.5741
0.1809 0.8191 0.9127
0.8191 0.6382 0.0873
0.3618 0.1809 0.0873
0.9567 0.4783 0.2406
0.0433 0.5217 0.7594
0.3025 0.1512 0.4259
0.5217 0.4783 0.2406
0.4783 0.9567 0.7594
0.6975 0.8488 0.5741
0.6382 0.8191 0.9127
0.4783 0.5217 0.7594
0.8191 0.1809 0.0873
0.3333 0.6667 0.6438
0.0000 0.0000 0.0000
0.6667 0.3333 0.3562
0.6667 0.3333 0.9111
0.3333 0.6667 0.0889
0.0000 0.0000 0.7518
0.6667 0.3333 0.6036
0.0000 0.0000 0.2482
0.3333 0.6667 0.3964
0.0000 0.0000 0.5000
0.6667 0.3333 0.1599
0.3333 0.6667 0.8401
```

Its volume is 508.7 Å³/cell. The uncorrected formation energy comes out at -3.067 eV/atom. The crystal system is trigonal.



(13)
Material: Nb3ReI
Method: DFT, GGA-PBEsol
State: relaxed

Cell and atoms, written as POSCAR:
```
Nb3ReI
1.0
-3.8017 -0.3528 3.0539
2.2984 -3.5517 2.4509
2.0416 3.3414 2.9276
Nb Re I
3 1 1
Direct
0.0000 0.0000 0.5000
0.0000 0.5000 0.0000
0.5000 0.0000 0.0000
0.0000 0.0000 0.0000
0.5000 0.5000 0.5000
```

Its volume is 116.9 Å³/cell. The uncorrected formation energy comes out at 1.277 eV/atom. The crystal system is cubic.



(14)
Material: KSbBr2
Method: DFT, GGA-PBEsol
State: relaxed

Cell and atoms, written as POSCAR:
```
KSbBr2
1.0
4.2497 0.0000 0.0000
0.0000 6.0890 0.0000
-2.1249 -3.0445 4.8505
Br Sb K
2 1 1
Direct
0.3003 0.3003 0.6007
0.6997 0.6997 0.3993
0.0000 0.5000 0.0000
0.5000 0.0000 0.0000
```

Its volume is 125.5 Å³/cell. The uncorrected formation energy comes out at -0.710 eV/atom. As for the offset from the most stable computed form: 6.6 meV per atom. The crystal system is orthorhombic.



(15)
Material: LiIr2Ru
Method: DFT, GGA-PBEsol
State: relaxed

Cell and atoms, written as POSCAR:
```
LiIr2Ru
1.0
-0.9336 -1.0739 -2.3170
-0.0917 -2.4513 1.1731
-6.6063 1.2449 2.0848
Ru Ir Li
1 2 1
Direct
0.5000 0.5000 0.5000
0.0000 0.0000 0.2433
0.0000 0.0000 0.7567
0.5000 0.5000 0.0000
```

Its volume is 52.0 Å³/cell. As for the offset from the most stable computed form: 0.0 meV per atom. The crystal system is tetragonal. For the formation enthalpy at 0 K, the calculation gives 0.7 kcal/mol of atoms.



(16)
Material: CrRePt
Method: DFT, GGA-PBEsol
State: relaxed

Cell and atoms, written as POSCAR:
```
CrRePt
1.0
-3.2843 -1.6407 -1.6582
-0.3968 -4.0063 -0.1435
-2.7267 -1.8386 2.3265
Re Pt Cr
1 1 1
Direct
0.5000 0.5000 0.5000
0.0000 0.0000 0.0000
0.2500 0.2500 0.2500
```

Its volume is 46.2 Å³/cell. As for the offset from the most stable computed form: 339.7 meV per atom. The crystal system is cubic. For the formation enthalpy at 0 K, the calculation gives 10.3 kcal/mol of atoms.



(17)
Material: CSe2
Method: DFT, GGA-PBEsol
State: relaxed

Cell and atoms, written as POSCAR:
```
CSe2
1.0
3.1370 0.0000 0.0000
0.0000 3.1370 0.0000
0.0000 0.0000 4.5722
Se C
2 1
Direct
0.0000 0.0000 0.5000
0.5000 0.5000 0.0000
0.0000 0.0000 0.0000
```

Its volume is 45.0 Å³/cell. The uncorrected formation energy comes out at 1.400 eV/atom. As for the offset from the most stable computed form: 100.8 meV per atom. The crystal system is tetragonal.



(18)
Material: TaNiCl
Method: DFT, GGA-PBEsol
State: relaxed

Cell and atoms, written as POSCAR:
```
TaNiCl
1.0
3.9613 0.0000 0.0000
1.9807 3.4306 0.0000
1.9807 1.1435 3.2344
Ni Ta Cl
1 1 1
Direct
0.0000 0.0000 0.0000
0.5000 0.5000 0.5000
0.2500 0.2500 0.2500
```

Its volume is 44.0 Å³/cell. The uncorrected formation energy comes out at 0.644 eV/atom. As for the offset from the most stable computed form: 438.6 meV per atom. The crystal system is cubic.



(19)
Material: Be2AgAs
Method: DFT, GGA-PBEsol
State: relaxed

Cell and atoms, written as POSCAR:
```
Be2AgAs
1.0
-2.1552 0.0478 -2.3510
2.3351 -0.3325 -2.1474
-0.4472 -5.1172 0.3061
Be Ag As
2 1 1
Direct
0.0000 0.0000 0.2828
0.0000 0.0000 0.7172
0.5000 0.5000 0.0000
0.5000 0.5000 0.5000
```

Its volume is 52.4 Å³/cell. The crystal system is tetragonal. For the formation enthalpy at 0 K, the calculation gives 6.7 kcal/mol of atoms.



(20)
Material: Nb2Zn2CoO8
Method: DFT, GGA-PBEsol
State: relaxed

Cell and atoms, written as POSCAR:
```
Nb2Zn2CoO8
1.0
5.1751 0.0000 -0.0159
0.0000 5.8758 0.0000
-0.0785 -2.9379 9.4516
Nb Co Zn O
4 2 4 16
Direct
0.2545 0.9509 0.2255
0.2455 0.7254 0.7745
0.7545 0.2746 0.2255
0.7455 0.0491 0.7745
0.7500 0.6306 0.0000
0.2500 0.3694 0.0000
0.7409 0.4344 0.5575
0.7591 0.8769 0.4425
0.2409 0.1231 0.5575
0.2591 0.5656 0.4425
0.9452 0.7215 0.6405
0.6284 0.5499 0.3847
0.4110 0.1880 0.1336
0.9199 0.4342 0.1134
0.1284 0.8348 0.3847
0.4199 0.6792 0.1134
0.5548 0.0810 0.3595
0.5801 0.3208 0.8866
0.0801 0.5658 0.8866
0.0548 0.2785 0.3595
0.9110 0.9457 0.1336
0.8716 0.1652 0.6153
0.5890 0.8121 0.8664
0.0890 0.0543 0.8664
0.4452 0.9190 0.6405
0.3716 0.4501 0.6153
```

Its volume is 287.4 Å³/cell. The uncorrected formation energy comes out at -1.885 eV/atom. The crystal system is monoclinic.